(1)
# SnPdAu3 | the Alexandria database | meta-GGA SCAN | single point on PBEsol structure
# Energy of formation from the pure elements: 0.59 eV per atom
# Symmetry: Pm-3m (221)
# DOS(E_F): 0.32 states/eV per atom
# Excess energy over the best structure of this formula in the dataset: 0.0 meV/atom
# Magnetization: 0.00 μB/f.u.
data_SnPdAu3
_chemical_formula_sum 'Sn1 Pd1 Au3'
_cell_length_a 4.927
_cell_length_b 4.927
_cell_length_c 4.927
_cell_angle_alpha 90.00
_cell_angle_beta 90.00
_cell_angle_gamma 90.00
_space_group_name_H-M_alt 'P 1'
_space_group_IT_number 1
loop_
_space_group_symop_operation_xyz
'x,y,z'
loop_
_atom_site_label
_atom_site_type_symbol
_atom_site_fract_x
_atom_site_fract_y
_atom_site_fract_z
_atom_site_occupancy
Au1 Au 0.000 0.000 0.500 1
Au2 Au 0.500 0.000 0.000 1
Au3 Au 0.000 0.500 0.000 1
Sn1 Sn 0.500 0.500 0.500 1
Pd1 Pd 0.000 0.000 0.000 1

(2)
# Sr2Pd2Au | the Alexandria database | meta-GGA SCAN | single point on PBEsol structure
# Energy of formation from the pure elements: -0.66 eV per atom
# Symmetry: P4/mbm (127)
# DOS(E_F): 0.39 states/eV per atom
# Magnetization: 0.00 μB/f.u.
data_Sr2Pd2Au
_chemical_formula_sum 'Sr4 Pd4 Au2'
_cell_length_a 4.286
_cell_length_b 7.341
_cell_length_c 7.341
_cell_angle_alpha 90.00
_cell_angle_beta 90.00
_cell_angle_gamma 90.00
_space_group_name_H-M_alt 'P 1'
_space_group_IT_number 1
loop_
_space_group_symop_operation_xyz
'x,y,z'
loop_
_atom_site_label
_atom_site_type_symbol
_atom_site_fract_x
_atom_site_fract_y
_atom_site_fract_z
_atom_site_occupancy
Sr1 Sr 0.500 0.823 0.323 1
Sr2 Sr 0.500 0.323 0.177 1
Sr3 Sr 0.500 0.177 0.677 1
Sr4 Sr 0.500 0.677 0.823 1
Pd1 Pd 0.000 0.870 0.630 1
Pd2 Pd 0.000 0.630 0.130 1
Pd3 Pd 0.000 0.130 0.370 1
Pd4 Pd 0.000 0.370 0.870 1
Au1 Au 0.000 0.000 0.000 1
Au2 Au 0.000 0.500 0.500 1

(3)
# Te3PdAu | the Alexandria database | meta-GGA SCAN | single point on PBEsol structure
# Energy relative to the elements, uncorrected: 284.3 kJ/mol of formula units
# Symmetry: Pm-3m (221)
# DOS(E_F): 1.14 states/eV per atom
# Magnetization: 0.00 μB/f.u.
data_Te3PdAu
_chemical_formula_sum 'Te3 Pd1 Au1'
_cell_length_a 5.171
_cell_length_b 5.171
_cell_length_c 5.171
_cell_angle_alpha 90.00
_cell_angle_beta 90.00
_cell_angle_gamma 90.00
_space_group_name_H-M_alt 'P 1'
_space_group_IT_number 1
loop_
_space_group_symop_operation_xyz
'x,y,z'
loop_
_atom_site_label
_atom_site_type_symbol
_atom_site_fract_x
_atom_site_fract_y
_atom_site_fract_z
_atom_site_occupancy
Pd1 Pd 0.000 0.000 0.000 1
Au1 Au 0.500 0.500 0.500 1
Te1 Te 0.000 0.500 0.000 1
Te2 Te 0.500 0.000 0.000 1
Te3 Te 0.000 0.000 0.500 1

(4)
# Ti2Pd2Au | the Alexandria database | meta-GGA SCAN | single point on PBEsol structure
# Energy of formation from the pure elements: -0.59 eV per atom
# Symmetry: P4/mbm (127)
# DOS(E_F): 0.76 states/eV per atom
# Magnetization: 0.00 μB/f.u.
data_Ti2Pd2Au
_chemical_formula_sum 'Ti4 Pd4 Au2'
_cell_length_a 2.974
_cell_length_b 7.266
_cell_length_c 7.266
_cell_angle_alpha 90.00
_cell_angle_beta 90.00
_cell_angle_gamma 90.00
_space_group_name_H-M_alt 'P 1'
_space_group_IT_number 1
loop_
_space_group_symop_operation_xyz
'x,y,z'
loop_
_atom_site_label
_atom_site_type_symbol
_atom_site_fract_x
_atom_site_fract_y
_atom_site_fract_z
_atom_site_occupancy
Pd1 Pd 0.000 0.129 0.371 1
Pd2 Pd 0.000 0.629 0.129 1
Pd3 Pd 0.000 0.871 0.629 1
Pd4 Pd 0.000 0.371 0.871 1
Ti1 Ti 0.500 0.828 0.328 1
Ti2 Ti 0.500 0.672 0.828 1
Ti3 Ti 0.500 0.328 0.172 1
Ti4 Ti 0.500 0.172 0.672 1
Au1 Au 0.000 0.000 0.000 1
Au2 Au 0.000 0.500 0.500 1

(5)
# TiPd2Au | the Alexandria database | meta-GGA SCAN | single point on PBEsol structure
# Energy of formation from the pure elements: -0.50 eV per atom
# Symmetry: Fm-3m (225)
# DOS(E_F): 0.94 states/eV per atom
# Magnetization: 0.00 μB/f.u.
data_TiPd2Au
_chemical_formula_sum 'Ti1 Pd2 Au1'
_cell_length_a 4.424
_cell_length_b 4.424
_cell_length_c 4.424
_cell_angle_alpha 60.00
_cell_angle_beta 60.00
_cell_angle_gamma 60.00
_space_group_name_H-M_alt 'P 1'
_space_group_IT_number 1
loop_
_space_group_symop_operation_xyz
'x,y,z'
loop_
_atom_site_label
_atom_site_type_symbol
_atom_site_fract_x
_atom_site_fract_y
_atom_site_fract_z
_atom_site_occupancy
Ti1 Ti 0.000 0.000 0.000 1
Pd1 Pd 0.750 0.750 0.750 1
Pd2 Pd 0.250 0.250 0.250 1
Au1 Au 0.500 0.500 0.500 1

(6)
# TiPdAu2 | the Alexandria database | meta-GGA SCAN | single point on PBEsol structure
# Energy of formation from the pure elements: -0.48 eV per atom
# Symmetry: Fm-3m (225)
# DOS(E_F): 0.70 states/eV per atom
# Magnetization: 0.00 μB/f.u.
data_TiPdAu2
_chemical_formula_sum 'Ti1 Pd1 Au2'
_cell_length_a 4.479
_cell_length_b 4.479
_cell_length_c 4.479
_cell_angle_alpha 60.00
_cell_angle_beta 60.00
_cell_angle_gamma 60.00
_space_group_name_H-M_alt 'P 1'
_space_group_IT_number 1
loop_
_space_group_symop_operation_xyz
'x,y,z'
loop_
_atom_site_label
_atom_site_type_symbol
_atom_site_fract_x
_atom_site_fract_y
_atom_site_fract_z
_atom_site_occupancy
Au1 Au 0.750 0.750 0.750 1
Au2 Au 0.250 0.250 0.250 1
Pd1 Pd 0.500 0.500 0.500 1
Ti1 Ti 0.000 0.000 0.000 1

(7)
# Tl3PdAu | the Alexandria database | meta-GGA SCAN | single point on PBEsol structure
# Energy of formation from the pure elements: 0.50 eV per atom
# Symmetry: Pm-3m (221)
# DOS(E_F): 0.56 states/eV per atom
# Magnetization: 0.00 μB/f.u.
data_Tl3PdAu
_chemical_formula_sum 'Tl3 Pd1 Au1'
_cell_length_a 5.294
_cell_length_b 5.294
_cell_length_c 5.294
_cell_angle_alpha 90.00
_cell_angle_beta 90.00
_cell_angle_gamma 90.00
_space_group_name_H-M_alt 'P 1'
_space_group_IT_number 1
loop_
_space_group_symop_operation_xyz
'x,y,z'
loop_
_atom_site_label
_atom_site_type_symbol
_atom_site_fract_x
_atom_site_fract_y
_atom_site_fract_z
_atom_site_occupancy
Tl1 Tl 0.500 0.000 0.000 1
Tl2 Tl 0.000 0.000 0.500 1
Tl3 Tl 0.000 0.500 0.000 1
Au1 Au 0.000 0.000 0.000 1
Pd1 Pd 0.500 0.500 0.500 1

(8)
# TlPd2Au2 | the Alexandria database | meta-GGA SCAN | single point on PBEsol structure
# Energy of formation from the pure elements: -0.06 eV per atom
# Symmetry: P4/mbm (127)
# DOS(E_F): 0.40 states/eV per atom
# Magnetization: 0.00 μB/f.u.
data_TlPd2Au2
_chemical_formula_sum 'Tl2 Pd4 Au4'
_cell_length_a 3.673
_cell_length_b 6.991
_cell_length_c 6.991
_cell_angle_alpha 90.00
_cell_angle_beta 90.00
_cell_angle_gamma 90.00
_space_group_name_H-M_alt 'P 1'
_space_group_IT_number 1
loop_
_space_group_symop_operation_xyz
'x,y,z'
loop_
_atom_site_label
_atom_site_type_symbol
_atom_site_fract_x
_atom_site_fract_y
_atom_site_fract_z
_atom_site_occupancy
Au1 Au 0.500 0.844 0.344 1
Au2 Au 0.500 0.156 0.656 1
Au3 Au 0.500 0.344 0.156 1
Au4 Au 0.500 0.656 0.844 1
Pd1 Pd 0.000 0.361 0.861 1
Pd2 Pd 0.000 0.861 0.639 1
Pd3 Pd 0.000 0.639 0.139 1
Pd4 Pd 0.000 0.139 0.361 1
Tl1 Tl 0.000 0.000 0.000 1
Tl2 Tl 0.000 0.500 0.500 1

(9)
# YPd2Au | the Alexandria database | meta-GGA SCAN | single point on PBEsol structure
# Energy of formation from the pure elements: -0.81 eV per atom
# Symmetry: Fm-3m (225)
# DOS(E_F): 0.45 states/eV per atom
# Magnetization: 0.00 μB/f.u.
data_YPd2Au
_chemical_formula_sum 'Y1 Pd2 Au1'
_cell_length_a 4.639
_cell_length_b 4.639
_cell_length_c 4.639
_cell_angle_alpha 60.00
_cell_angle_beta 60.00
_cell_angle_gamma 60.00
_space_group_name_H-M_alt 'P 1'
_space_group_IT_number 1
loop_
_space_group_symop_operation_xyz
'x,y,z'
loop_
_atom_site_label
_atom_site_type_symbol
_atom_site_fract_x
_atom_site_fract_y
_atom_site_fract_z
_atom_site_occupancy
Y1 Y 0.000 0.000 0.000 1
Pd1 Pd 0.750 0.750 0.750 1
Pd2 Pd 0.250 0.250 0.250 1
Au1 Au 0.500 0.500 0.500 1

(10)
# Y2Pd2Au | the Alexandria database | meta-GGA SCAN | single point on PBEsol structure
# Energy of formation from the pure elements: -1.00 eV per atom
# Symmetry: P4/mbm (127)
# DOS(E_F): 0.50 states/eV per atom
# Magnetization: 0.00 μB/f.u.
data_Y2Pd2Au
_chemical_formula_sum 'Y4 Pd4 Au2'
_cell_length_a 3.733
_cell_length_b 7.384
_cell_length_c 7.384
_cell_angle_alpha 90.00
_cell_angle_beta 90.00
_cell_angle_gamma 90.00
_space_group_name_H-M_alt 'P 1'
_space_group_IT_number 1
loop_
_space_group_symop_operation_xyz
'x,y,z'
loop_
_atom_site_label
_atom_site_type_symbol
_atom_site_fract_x
_atom_site_fract_y
_atom_site_fract_z
_atom_site_occupancy
Y1 Y 0.500 0.825 0.325 1
Y2 Y 0.500 0.175 0.675 1
Y3 Y 0.500 0.325 0.175 1
Y4 Y 0.500 0.675 0.825 1
Pd1 Pd 0.000 0.371 0.871 1
Pd2 Pd 0.000 0.129 0.371 1
Pd3 Pd 0.000 0.871 0.629 1
Pd4 Pd 0.000 0.629 0.129 1
Au1 Au 0.000 0.500 0.500 1
Au2 Au 0.000 0.000 0.000 1